(1)
This record from Alexandria via LeMat-Bulk describes an optimized crystal structure of Tl2Sn3Cl8. The functional is GGA-PBE.

extended XYZ file:
```
13
Lattice="-6.292 0.819 -3.520 -4.191 -3.712 6.439 -3.001 4.892 6.314" Properties=species:S:1:pos:R:3 pbc="T T T"
Cl -8.951 -1.065 5.461
Cl -8.304 1.177 1.987
Cl -8.305 3.609 5.393
Cl -4.532 3.063 3.772
Cl -11.595 1.726 8.438
Cl -1.889 0.273 0.795
Sn -3.146 0.410 -1.760
Tl -8.312 1.258 7.444
Cl -5.179 0.822 7.245
Tl -5.172 0.741 1.789
Sn -3.307 2.682 6.346
Cl -5.179 -1.610 3.840
Sn -3.885 -1.502 6.407
```

energy relative to the lowest polymorph listed for this composition = 0.010 eV per atom
formation energy from raw total energies = -1001 meV/atom
calculated volume = 35.6 A^3/atom
space-group type = C2/m (12)

=====

(2)
This record from Alexandria via LeMat-Bulk describes an optimized crystal structure of TlSn2Cl8. The functional is GGA-PBE.

extended XYZ file:
```
11
Lattice="-1.041 -7.367 3.703 5.225 -0.440 5.803 -1.829 1.397 7.474" Properties=species:S:1:pos:R:3 pbc="T T T"
Cl 3.657 -1.577 8.683
Cl 1.185 -5.693 11.258
Sn 0.383 -2.077 3.900
Tl 0.000 0.000 0.000
Cl 1.170 -0.716 5.722
Cl 2.411 -2.038 12.413
Sn 1.972 -4.332 13.080
Cl 2.274 -5.764 7.450
Cl -1.302 -4.833 8.297
Cl 0.081 -0.645 9.530
Cl -0.056 -4.371 4.567
```

formation energy from raw total energies = -873 meV/atom
calculated volume = 36.5 A^3/atom
space-group type = C2/m (12)

=====

(3)
This record from Alexandria via LeMat-Bulk describes an optimized crystal structure of Tl3SnCl5. The functional is GGA-PBE.

extended XYZ file:
```
18
Lattice="7.302 0.000 -4.017 -2.210 6.959 -4.017 0.813 1.111 10.122" Properties=species:S:1:pos:R:3 pbc="T T T"
Cl 2.546 3.480 -4.017
Cl 2.936 2.625 -0.188
Cl 4.159 7.072 -4.205
Cl 0.816 6.105 -1.638
Tl 0.429 2.357 -2.009
Tl 4.225 5.775 -0.965
Tl 0.620 5.837 -4.730
Sn 0.574 5.775 1.044
Cl -0.375 4.477 4.842
Cl 6.279 3.593 -2.755
Tl 4.472 1.122 -3.304
Cl 2.969 5.445 2.275
Tl 4.663 4.602 -6.026
Tl 1.679 2.295 3.052
Cl 1.745 0.998 6.292
Sn 5.330 2.295 1.044
Cl 0.000 0.000 0.000
Cl 5.089 1.965 3.725
```

formation energy from raw total energies = -947 meV/atom
calculated volume = 32.2 A^3/atom
space-group type = I4/mcm (140)

=====

(4)
This record from Alexandria via LeMat-Bulk describes an optimized crystal structure of TlSn3Cl7. The functional is GGA-PBE.

extended XYZ file:
```
11
Lattice="6.937 -0.231 -1.147 -1.819 6.922 -1.469 0.336 -0.231 7.024" Properties=species:S:1:pos:R:3 pbc="T T T"
Cl 0.664 1.499 0.536
Cl 3.854 1.682 -0.808
Cl 5.434 4.779 0.469
Cl 0.020 1.682 3.938
Tl 2.727 3.230 2.203
Sn 1.864 -0.231 5.133
Cl 3.637 -0.231 2.938
Cl 4.791 4.961 3.871
Cl 1.601 4.779 5.215
Sn -0.909 3.461 -0.735
Sn 5.410 -0.231 0.744
```

formation energy from raw total energies = -968 meV/atom
calculated volume = 30.4 A^3/atom
space-group type = C2/m (12)

=====

(5)
This record from Alexandria via LeMat-Bulk describes an optimized crystal structure of Tl2SnCl4. The functional is GGA-PBE.

extended XYZ file:
```
28
Lattice="9.255 0.000 0.000 0.000 9.255 0.000 0.000 0.000 12.532" Properties=species:S:1:pos:R:3 pbc="T T T"
Tl 6.895 6.895 10.965
Sn 7.007 0.000 3.133
Tl 4.627 2.179 0.000
Cl 1.948 4.142 0.082
Cl 2.232 9.159 6.520
Tl 7.076 4.627 3.133
Cl 7.307 4.142 12.450
Cl 9.159 2.232 2.878
Sn 2.248 0.000 9.399
Cl 4.142 7.307 9.481
Tl 2.179 4.627 9.399
Tl 6.895 2.360 7.832
Cl 1.948 5.113 6.184
Tl 4.627 7.076 6.266
Cl 0.096 2.232 9.653
Cl 4.142 1.948 9.317
Tl 2.360 6.895 1.566
Tl 2.360 2.360 4.699
Cl 7.023 0.096 0.254
Cl 5.113 1.948 3.215
Sn 0.000 7.007 6.266
Cl 5.113 7.307 3.051
Cl 7.023 9.159 6.011
Cl 7.307 5.113 6.348
Sn 0.000 2.248 0.000
Cl 9.159 7.023 3.387
Cl 2.232 0.096 12.277
Cl 0.096 7.023 9.144
```

energy relative to the lowest polymorph listed for this composition = 0.000 eV per atom
formation energy from raw total energies = -1009 meV/atom
calculated volume = 38.3 A^3/atom
space-group type = P4_122 (91)

=====

(6)
This record from Alexandria via LeMat-Bulk describes an optimized crystal structure of Tl2Sn2Cl. The functional is GGA-PBE.

extended XYZ file:
```
10
Lattice="-5.676 5.445 1.193 -2.283 -0.719 -7.587 -3.046 -3.447 1.243" Properties=species:S:1:pos:R:3 pbc="T T T"
Tl -3.793 -0.032 -0.251
Tl -7.212 1.312 -4.900
Cl 0.000 0.000 0.000
Tl -3.996 -1.292 -4.241
Sn -6.346 4.230 -3.820
Cl -3.980 2.363 -3.197
Sn -1.613 0.497 -2.574
Tl -7.009 2.572 -0.909
Sn -3.944 3.379 -0.292
Sn -4.016 1.347 -6.102
```

energy relative to the lowest polymorph listed for this composition = 0.114 eV per atom
formation energy from raw total energies = -117 meV/atom
calculated volume = 30.2 A^3/atom
space-group type = P4/mbm (127)

=====

Question: What is the formula in the second record?
Answer: TlSn2Cl8

=====

Question: Which of these has the highest formation energy from raw total energies?
Answer: Tl2Sn2Cl

=====

Question: Which value of formation energy from raw total energies does entry 6 give?
Answer: -117 meV/atom

=====

Question: Look up the calculated volume of the first one.
Answer: 35.6 A^3/atom